[1]
Fe2GeBi after structural relaxation. Source: Alexandria, functional GGA-PBE.

Computed properties:
Formation energy   194 kJ/mol of formula units
Spin magnetization   4.603 μB/f.u.
Mass density   9.73 g/cm3
Fermi-level density of states   17.52 states/eV/cell

CIF file:
```
data_Fe2GeBi
_cell_length_a 6.452
_cell_length_b 6.452
_cell_length_c 6.452
_cell_angle_alpha 90.00
_cell_angle_beta 90.00
_cell_angle_gamma 90.00
_symmetry_space_group_name_H-M 'F m -3 m'
_symmetry_Int_Tables_number 225
_symmetry_space_group_name_Hall '-F 4 2 3'
loop_
_atom_site_label
_atom_site_fract_x
_atom_site_fract_y
_atom_site_fract_z
Fe1 0.250 0.250 0.250
Ge1 0.000 0.000 0.000
Bi1 0.000 0.000 0.500
```



[2]
FeGe2Bi4 after structural relaxation. Source: Alexandria, functional GGA-PBE.

Computed properties:
Formation energy   368 kJ/mol of formula units
Spin magnetization   0.000 μB/f.u.
Mass density   8.83 g/cm3
Fermi-level density of states   10.12 states/eV/cell

CIF file:
```
data_FeGe2Bi4
_cell_length_a 4.920
_cell_length_b 4.920
_cell_length_c 16.116
_cell_angle_alpha 90.00
_cell_angle_beta 90.00
_cell_angle_gamma 90.00
_symmetry_space_group_name_H-M 'I 4/m m m'
_symmetry_Int_Tables_number 139
_symmetry_space_group_name_Hall '-I 4 2'
loop_
_atom_site_label
_atom_site_fract_x
_atom_site_fract_y
_atom_site_fract_z
Fe1 0.000 0.000 0.000
Ge1 0.000 0.000 0.351
Bi1 0.000 0.000 0.170
Bi2 0.000 0.500 0.000
```



[3]
FeGeBi3 after structural relaxation. Source: Alexandria, functional GGA-PBE.

Computed properties:
Formation energy   272 kJ/mol of formula units
Spin magnetization   0.949 μB/f.u.
Polymorph energy (0 for the lowest one)   0.000 eV/atom
Mass density   9.31 g/cm3
Fermi-level density of states   5.09 states/eV/cell

CIF file:
```
data_FeGeBi3
_cell_length_a 5.127
_cell_length_b 5.127
_cell_length_c 5.127
_cell_angle_alpha 90.00
_cell_angle_beta 90.00
_cell_angle_gamma 90.00
_symmetry_space_group_name_H-M 'P m -3 m'
_symmetry_Int_Tables_number 221
_symmetry_space_group_name_Hall '-P 4 2 3'
loop_
_atom_site_label
_atom_site_fract_x
_atom_site_fract_y
_atom_site_fract_z
Fe1 0.000 0.000 0.000
Ge1 0.500 0.500 0.500
Bi1 0.000 0.000 0.500
```



[4]
HfFeGe2Bi after structural relaxation. Source: Alexandria, functional GGA-PBE.

Computed properties:
Formation energy   228 kJ/mol of formula units
Spin magnetization   0.000 μB/f.u.
Mass density   9.43 g/cm3
Fermi-level density of states   3.58 states/eV/cell

CIF file:
```
data_HfFeGe2Bi
_cell_length_a 4.377
_cell_length_b 4.377
_cell_length_c 5.409
_cell_angle_alpha 90.00
_cell_angle_beta 90.00
_cell_angle_gamma 90.00
_symmetry_space_group_name_H-M 'P 4/m m m'
_symmetry_Int_Tables_number 123
_symmetry_space_group_name_Hall '-P 4 2'
loop_
_atom_site_label
_atom_site_fract_x
_atom_site_fract_y
_atom_site_fract_z
Hf1 0.000 0.000 0.000
Fe1 0.500 0.500 0.500
Ge1 0.000 0.500 0.500
Bi1 0.500 0.500 0.000
```



[5]
Nb2FeGeBi after structural relaxation. Source: Alexandria, functional GGA-PBE.

Computed properties:
Formation energy   864 kJ/mol of formula units
Spin magnetization   1.260 μB/f.u.
Mass density   6.73 g/cm3
Fermi-level density of states   7.00 states/eV/cell

CIF file:
```
data_Nb2FeGeBi
_cell_length_a 5.232
_cell_length_b 5.232
_cell_length_c 4.720
_cell_angle_alpha 90.00
_cell_angle_beta 90.00
_cell_angle_gamma 90.00
_symmetry_space_group_name_H-M 'P 4/m m m'
_symmetry_Int_Tables_number 123
_symmetry_space_group_name_Hall '-P 4 2'
loop_
_atom_site_label
_atom_site_fract_x
_atom_site_fract_y
_atom_site_fract_z
Nb1 0.000 0.500 0.000
Fe1 0.000 0.000 0.500
Ge1 0.500 0.500 0.500
Bi1 0.000 0.000 0.000
```